Record 1
BeB4Au | PBE-GGA | optimized geometry

Cell: 3.0285 5.1949 6.9843 Å, 90.00 90.00 90.00°
With the nearest neighbours (Å) after each atom.
Space group Immm (No. 71)
Inequivalent atoms, fractional coordinates:
1 Be 0.0000 0.0000 0.0000  12 B 2.38-2.55
2 B 0.0000 0.3300 0.2703  3 B 1.75-1.77
3 Au 0.0000 0.0000 0.5000  12 B 2.35-2.58

Calculated values
Energy relative to the lowest polymorph listed for this composition ... 1.18 eV/f.u.



Record 2
RbZrTl | PBE-GGA | optimized geometry

Cell: 7.6234 7.6234 7.6234 Å, 90.00 90.00 90.00°
With the nearest neighbours (Å) after each atom.
Space group F-43m (No. 216)
Inequivalent atoms, fractional coordinates:
1 Rb 0.0000 0.0000 0.0000  4 Tl 3.30
2 Zr 0.0000 0.0000 0.5000  4 Tl 3.30
3 Tl 0.2500 0.2500 0.2500  4 Zr 3.30, 4 Rb 3.30

Calculated values
Energy relative to the lowest polymorph listed for this composition ... 0.00 eV/f.u.



Q: Among the records above, which one has the highest energy relative to the lowest polymorph listed for this composition?
A: BeB4Au